Below is an optimized crystal structure of NaVNF2, with properties calculated at the GGA+U level.

Space group: P4/mmm (123)
VASP energy: -21.90 eV for the cell shown
Magnetic moment: 3.0 μB/cell

Unit cell a=3.8915 b=3.8915 c=4.3781 alpha=90.00 beta=90.00 gamma=90.00
Closest atoms and distances in Å follow each position.
Fractional coordinates of all 5 atoms:
Na: 0.0000 0.0000 0.0000  4 F 1.95
V: 0.5000 0.5000 0.5000  4 N 2.75, 8 F 2.93
N: 0.0000 0.0000 0.5000  2 Na 2.19
F: 0.0000 0.5000 0.0000  2 Na 1.95
F: 0.5000 0.0000 0.0000  2 Na 1.95